Entry 1:
Below is a relaxed Na2PaRe2N6 crystal, with properties calculated at the PBE-GGA level.

```
data_Na2PaRe2N6
_chemical_formula_sum 'Na4 Pa2 Re4 N12'
_symmetry_space_group_name_H-M 'C 1 2/m 1'
_symmetry_Int_Tables_number 12
_symmetry_space_group_name_Hall '-C 2y'
_cell_length_a 10.494
_cell_length_b 6.061
_cell_length_c 7.066
_cell_angle_alpha 90.00
_cell_angle_beta 124.15
_cell_angle_gamma 90.00
loop_
_atom_site_label
_atom_site_type_symbol
_atom_site_fract_x
_atom_site_fract_y
_atom_site_fract_z
Na1 Na 0.205 0.000 0.141
Pa1 Pa 0.000 0.000 0.500
Re1 Re 0.035 0.500 0.207
N1 N 0.052 0.250 0.768
N2 N 0.239 0.500 0.371
```

***

Entry 2:
Below is a relaxed Na3Pa3ReN8 crystal, with properties calculated at the PBE-GGA level.

```
data_Na3Pa3ReN8
_chemical_formula_sum 'Na9 Pa9 Re3 N24'
_symmetry_space_group_name_H-M 'R -3 m'
_symmetry_Int_Tables_number 166
_symmetry_space_group_name_Hall '-R 3 2"'
_cell_length_a 6.8595
_cell_length_b 6.8595
_cell_length_c 17.1371
_cell_angle_alpha 90.00
_cell_angle_beta 90.00
_cell_angle_gamma 120.00
loop_
_atom_site_label
_atom_site_type_symbol
_atom_site_fract_x
_atom_site_fract_y
_atom_site_fract_z
Na1 Na 0.0000 0.5000 0.0000
Pa1 Pa 0.0000 0.5000 0.5000
Re1 Re 0.0000 0.0000 0.5000
N1 N 0.0000 0.0000 0.2312
N2 N 0.0269 0.5134 0.2259
```

***

no.,formation energy (no corrections) (eV/atom),total DFT energy (no corrections) (eV per atom)
1,-0.47,-8.377
2,-0.88,-8.312